# SrThIrO6 | Alexandria | PBE | relaxed
# * total moment: 5.9 μB/cell
# * formation energy (no corrections): -2.11 eV/atom
data_SrThIrO6
_chemical_formula_sum 'Sr2 Th2 Ir2 O12'
_cell_length_a 5.186
_cell_length_b 5.186
_cell_length_c 10.385
_cell_angle_alpha 90.00
_cell_angle_beta 90.00
_cell_angle_gamma 90.00
_space_group_name_H-M_alt 'P 1'
_space_group_IT_number 1
_space_group_name_Hall 'P 1'
loop_
_atom_site_label
_atom_site_type_symbol
_atom_site_fract_x
_atom_site_fract_y
_atom_site_fract_z
Sr1 Sr 0.000 0.000 0.000
Sr2 Sr 0.500 0.500 0.500
Th1 Th 0.000 0.000 0.663
Th2 Th 0.500 0.500 0.163
Ir1 Ir 0.000 0.000 0.329
Ir2 Ir 0.500 0.500 0.829
O1 O 0.172 0.172 0.474
O2 O 0.191 0.191 0.195
O3 O 0.235 0.235 0.817
O4 O 0.265 0.735 0.317
O5 O 0.309 0.691 0.695
O6 O 0.328 0.672 0.974
O7 O 0.672 0.328 0.974
O8 O 0.691 0.309 0.695
O9 O 0.735 0.265 0.317
O10 O 0.765 0.765 0.817
O11 O 0.809 0.809 0.195
O12 O 0.828 0.828 0.474


# VRuAu | Alexandria | PBE | relaxed
# * total moment: 0.0 μB/cell
# * ΔE_f: 34 kJ/mol of formula units
# * E above lowest polymorph: 0.2318 eV/atom
data_VRuAu
_chemical_formula_sum 'V1 Ru1 Au1'
_cell_length_a 4.320
_cell_length_b 4.320
_cell_length_c 2.818
_cell_angle_alpha 90.00
_cell_angle_beta 90.00
_cell_angle_gamma 120.00
_space_group_name_H-M_alt 'P 1'
_space_group_IT_number 1
_space_group_name_Hall 'P 1'
loop_
_atom_site_label
_atom_site_type_symbol
_atom_site_fract_x
_atom_site_fract_y
_atom_site_fract_z
V1 V 0.000 0.000 0.000
Ru1 Ru 0.667 0.333 0.154
Au1 Au 0.333 0.667 0.611


# CsHf2NiP | Alexandria | PBE | relaxed
# * total moment: 0.0 μB/cell
# * ΔE_f: 258 kJ/mol of formula units
data_CsHf2NiP
_chemical_formula_sum 'Cs1 Hf2 Ni1 P1'
_cell_length_a 5.106
_cell_length_b 5.106
_cell_length_c 4.285
_cell_angle_alpha 90.00
_cell_angle_beta 90.00
_cell_angle_gamma 90.00
_space_group_name_H-M_alt 'P 1'
_space_group_IT_number 1
_space_group_name_Hall 'P 1'
loop_
_atom_site_label
_atom_site_type_symbol
_atom_site_fract_x
_atom_site_fract_y
_atom_site_fract_z
Cs1 Cs 0.000 0.000 0.000
Hf1 Hf 0.000 0.500 0.500
Hf2 Hf 0.500 0.000 0.500
Ni1 Ni 0.500 0.500 0.000
P1 P 0.500 0.500 0.500


# CaCr2Rh | Alexandria | PBE | relaxed
# * total moment: 1.0 μB/cell
# * ΔE_f: 87 kJ/mol of formula units
# * E above lowest polymorph: 0.0000 eV/atom
data_CaCr2Rh
_chemical_formula_sum 'Ca1 Cr2 Rh1'
_cell_length_a 3.090
_cell_length_b 3.107
_cell_length_c 7.158
_cell_angle_alpha 90.00
_cell_angle_beta 90.00
_cell_angle_gamma 90.00
_space_group_name_H-M_alt 'P 1'
_space_group_IT_number 1
_space_group_name_Hall 'P 1'
loop_
_atom_site_label
_atom_site_type_symbol
_atom_site_fract_x
_atom_site_fract_y
_atom_site_fract_z
Ca1 Ca 0.000 0.000 0.000
Cr1 Cr 0.000 0.000 0.492
Cr2 Cr 0.500 0.500 0.661
Rh1 Rh 0.500 0.500 0.273


# HfZr2CrB | Alexandria | PBE | relaxed
# * total moment: 0.0 μB/cell
# * ΔE_f: 146 kJ/mol of formula units
data_HfZr2CrB
_chemical_formula_sum 'Hf1 Zr2 Cr1 B1'
_cell_length_a 4.577
_cell_length_b 4.577
_cell_length_c 4.505
_cell_angle_alpha 90.00
_cell_angle_beta 90.00
_cell_angle_gamma 90.00
_space_group_name_H-M_alt 'P 1'
_space_group_IT_number 1
_space_group_name_Hall 'P 1'
loop_
_atom_site_label
_atom_site_type_symbol
_atom_site_fract_x
_atom_site_fract_y
_atom_site_fract_z
Hf1 Hf 0.000 0.000 0.000
Zr1 Zr 0.000 0.500 0.500
Zr2 Zr 0.500 0.000 0.500
Cr1 Cr 0.500 0.500 0.000
B1 B 0.000 0.000 0.500


# CeNd2Er5 | Alexandria | PBE | relaxed
# * total moment: 1.9 μB/cell
# * ΔE_f: 34 kJ/mol of formula units
# * E above lowest polymorph: 0.0000 eV/atom
data_CeNd2Er5
_chemical_formula_sum 'Ce2 Nd4 Er10'
_cell_length_a 7.092
_cell_length_b 14.199
_cell_length_c 5.036
_cell_angle_alpha 90.00
_cell_angle_beta 90.00
_cell_angle_gamma 90.00
_space_group_name_H-M_alt 'P 1'
_space_group_IT_number 1
_space_group_name_Hall 'P 1'
loop_
_atom_site_label
_atom_site_type_symbol
_atom_site_fract_x
_atom_site_fract_y
_atom_site_fract_z
Ce1 Ce 0.000 0.000 0.000
Ce2 Ce 0.500 0.500 0.000
Nd1 Nd 0.250 0.124 0.500
Nd2 Nd 0.250 0.624 0.500
Nd3 Nd 0.750 0.376 0.500
Nd4 Nd 0.750 0.876 0.500
Er1 Er 0.000 0.500 0.000
Er2 Er 0.006 0.250 0.000
Er3 Er 0.242 0.876 0.500
Er4 Er 0.258 0.376 0.500
Er5 Er 0.494 0.750 0.000
Er6 Er 0.500 0.000 0.000
Er7 Er 0.506 0.250 0.000
Er8 Er 0.742 0.624 0.500
Er9 Er 0.758 0.124 0.500
Er10 Er 0.994 0.750 0.000


# NaCdBi2Se4 | Alexandria | PBE | relaxed
# * total moment: 0.0 μB/cell
# * formation energy (no corrections): -0.52 eV/atom
data_NaCdBi2Se4
_chemical_formula_sum 'Na1 Cd1 Bi2 Se4'
_cell_length_a 7.344
_cell_length_b 4.244
_cell_length_c 7.433
_cell_angle_alpha 90.00
_cell_angle_beta 109.70
_cell_angle_gamma 90.00
_space_group_name_H-M_alt 'P 1'
_space_group_IT_number 1
_space_group_name_Hall 'P 1'
loop_
_atom_site_label
_atom_site_type_symbol
_atom_site_fract_x
_atom_site_fract_y
_atom_site_fract_z
Na1 Na 0.000 0.000 0.000
Cd1 Cd 0.000 0.500 0.500
Bi1 Bi 0.500 0.000 0.500
Bi2 Bi 0.500 0.500 0.000
Se1 Se 0.251 0.000 0.743
Se2 Se 0.256 0.500 0.256
Se3 Se 0.744 0.500 0.744
Se4 Se 0.749 0.000 0.257


# CsK3Os2O8 | Alexandria | PBE | relaxed
# * total moment: 4.0 μB/cell
# * formation energy (no corrections): -1.31 eV/atom
data_CsK3Os2O8
_chemical_formula_sum 'Cs1 K3 Os2 O8'
_cell_length_a 6.300
_cell_length_b 6.300
_cell_length_c 9.202
_cell_angle_alpha 90.00
_cell_angle_beta 90.00
_cell_angle_gamma 120.00
_space_group_name_H-M_alt 'P 1'
_space_group_IT_number 1
_space_group_name_Hall 'P 1'
loop_
_atom_site_label
_atom_site_type_symbol
_atom_site_fract_x
_atom_site_fract_y
_atom_site_fract_z
Cs1 Cs 0.000 0.000 0.000
K1 K 0.000 0.000 0.500
K2 K 0.333 0.667 0.220
K3 K 0.667 0.333 0.780
Os1 Os 0.333 0.667 0.685
Os2 Os 0.667 0.333 0.315
O1 O 0.179 0.357 0.759
O2 O 0.179 0.821 0.759
O3 O 0.333 0.667 0.490
O4 O 0.357 0.179 0.241
O5 O 0.643 0.821 0.759
O6 O 0.667 0.333 0.510
O7 O 0.821 0.179 0.241
O8 O 0.821 0.643 0.241


# Li2CuW | Alexandria | PBE | relaxed
# * total moment: 0.0 μB/cell
# * ΔE_f: 149 kJ/mol of formula units
# * E above lowest polymorph: 0.1230 eV/atom
data_Li2CuW
_chemical_formula_sum 'Li2 Cu1 W1'
_cell_length_a 5.503
_cell_length_b 5.503
_cell_length_c 5.503
_cell_angle_alpha 153.29
_cell_angle_beta 129.62
_cell_angle_gamma 57.93
_space_group_name_H-M_alt 'P 1'
_space_group_IT_number 1
_space_group_name_Hall 'P 1'
loop_
_atom_site_label
_atom_site_type_symbol
_atom_site_fract_x
_atom_site_fract_y
_atom_site_fract_z
Li1 Li 0.230 0.230 0.000
Li2 Li 0.770 0.770 0.000
Cu1 Cu 0.000 0.500 0.500
W1 W 0.500 0.000 0.500


# Sr3BIr | Alexandria | PBE | relaxed
# * total moment: 0.0 μB/cell
# * ΔE_f: 319 kJ/mol of formula units
data_Sr3BIr
_chemical_formula_sum 'Sr3 B1 Ir1'
_cell_length_a 5.320
_cell_length_b 5.320
_cell_length_c 5.320
_cell_angle_alpha 90.00
_cell_angle_beta 90.00
_cell_angle_gamma 90.00
_space_group_name_H-M_alt 'P 1'
_space_group_IT_number 1
_space_group_name_Hall 'P 1'
loop_
_atom_site_label
_atom_site_type_symbol
_atom_site_fract_x
_atom_site_fract_y
_atom_site_fract_z
Sr1 Sr 0.000 0.000 0.500
Sr2 Sr 0.000 0.500 0.000
Sr3 Sr 0.500 0.000 0.000
B1 B 0.000 0.000 0.000
Ir1 Ir 0.500 0.500 0.500


# Er2Ga3Sn2 | Alexandria | PBE | relaxed
# * total moment: 0.0 μB/cell
# * ΔE_f: -212 kJ/mol of formula units
data_Er2Ga3Sn2
_chemical_formula_sum 'Er4 Ga6 Sn4'
_cell_length_a 7.550
_cell_length_b 7.550
_cell_length_c 7.550
_cell_angle_alpha 109.47
_cell_angle_beta 109.47
_cell_angle_gamma 109.47
_space_group_name_H-M_alt 'P 1'
_space_group_IT_number 1
_space_group_name_Hall 'P 1'
loop_
_atom_site_label
_atom_site_type_symbol
_atom_site_fract_x
_atom_site_fract_y
_atom_site_fract_z
Er1 Er 0.000 0.487 0.500
Er2 Er 0.013 0.013 0.013
Er3 Er 0.487 0.500 0.000
Er4 Er 0.500 0.000 0.487
Ga1 Ga 0.005 0.255 0.750
Ga2 Ga 0.245 0.250 0.495
Ga3 Ga 0.250 0.495 0.245
Ga4 Ga 0.255 0.750 0.005
Ga5 Ga 0.495 0.245 0.250
Ga6 Ga 0.750 0.005 0.255
Sn1 Sn 0.000 0.879 0.500
Sn2 Sn 0.500 0.000 0.879
Sn3 Sn 0.621 0.621 0.621
Sn4 Sn 0.879 0.500 0.000


# ZrCr2Ru2 | Alexandria | PBE | relaxed
# * total moment: 0.0 μB/cell
# * ΔE_f: 21 kJ/mol of formula units
# * E above lowest polymorph: 0.0000 eV/atom
data_ZrCr2Ru2
_chemical_formula_sum 'Zr2 Cr4 Ru4'
_cell_length_a 7.263
_cell_length_b 7.263
_cell_length_c 2.787
_cell_angle_alpha 90.00
_cell_angle_beta 90.00
_cell_angle_gamma 90.00
_space_group_name_H-M_alt 'P 1'
_space_group_IT_number 1
_space_group_name_Hall 'P 1'
loop_
_atom_site_label
_atom_site_type_symbol
_atom_site_fract_x
_atom_site_fract_y
_atom_site_fract_z
Zr1 Zr 0.000 0.000 0.000
Zr2 Zr 0.500 0.500 0.000
Cr1 Cr 0.148 0.352 0.000
Cr2 Cr 0.352 0.852 0.000
Cr3 Cr 0.648 0.148 0.000
Cr4 Cr 0.852 0.648 0.000
Ru1 Ru 0.148 0.648 0.500
Ru2 Ru 0.352 0.148 0.500
Ru3 Ru 0.648 0.852 0.500
Ru4 Ru 0.852 0.352 0.500


# Fe3Ir | Alexandria | PBE | relaxed
# * total moment: 18.6 μB/cell
# * ΔE_f: 11 kJ/mol of formula units
data_Fe3Ir
_chemical_formula_sum 'Fe18 Ir6'
_cell_length_a 5.165
_cell_length_b 12.562
_cell_length_c 4.462
_cell_angle_alpha 90.00
_cell_angle_beta 90.00
_cell_angle_gamma 90.00
_space_group_name_H-M_alt 'P 1'
_space_group_IT_number 1
_space_group_name_Hall 'P 1'
loop_
_atom_site_label
_atom_site_type_symbol
_atom_site_fract_x
_atom_site_fract_y
_atom_site_fract_z
Fe1 Fe 0.000 0.084 0.168
Fe2 Fe 0.000 0.416 0.168
Fe3 Fe 0.000 0.584 0.832
Fe4 Fe 0.000 0.916 0.832
Fe5 Fe 0.002 0.250 0.497
Fe6 Fe 0.250 0.250 0.005
Fe7 Fe 0.250 0.584 0.336
Fe8 Fe 0.250 0.916 0.336
Fe9 Fe 0.498 0.250 0.497
Fe10 Fe 0.500 0.084 0.168
Fe11 Fe 0.500 0.416 0.168
Fe12 Fe 0.500 0.584 0.832
Fe13 Fe 0.500 0.916 0.832
Fe14 Fe 0.502 0.750 0.503
Fe15 Fe 0.750 0.084 0.664
Fe16 Fe 0.750 0.416 0.664
Fe17 Fe 0.750 0.750 0.995
Fe18 Fe 0.998 0.750 0.503
Ir1 Ir 0.250 0.084 0.665
Ir2 Ir 0.250 0.416 0.665
Ir3 Ir 0.250 0.750 0.002
Ir4 Ir 0.750 0.250 0.998
Ir5 Ir 0.750 0.584 0.335
Ir6 Ir 0.750 0.916 0.335


# CdHgBr | Alexandria | PBE | relaxed
# * total moment: 0.0 μB/cell
# * formation energy (no corrections): -0.16 eV/atom
# * E above lowest polymorph: 0.1397 eV/atom
data_CdHgBr
_chemical_formula_sum 'Cd1 Hg1 Br1'
_cell_length_a 5.108
_cell_length_b 5.108
_cell_length_c 5.108
_cell_angle_alpha 60.00
_cell_angle_beta 60.00
_cell_angle_gamma 60.00
_space_group_name_H-M_alt 'P 1'
_space_group_IT_number 1
_space_group_name_Hall 'P 1'
loop_
_atom_site_label
_atom_site_type_symbol
_atom_site_fract_x
_atom_site_fract_y
_atom_site_fract_z
Cd1 Cd 0.000 0.000 0.000
Hg1 Hg 0.750 0.750 0.750
Br1 Br 0.250 0.250 0.250


# Li2TeH | Alexandria | PBE | relaxed
# * total moment: 0.0 μB/cell
# * E above lowest polymorph: 0.0000 eV/atom
data_Li2TeH
_chemical_formula_sum 'Li4 Te2 H2'
_cell_length_a 6.867
_cell_length_b 6.867
_cell_length_c 3.002
_cell_angle_alpha 90.00
_cell_angle_beta 90.00
_cell_angle_gamma 90.00
_space_group_name_H-M_alt 'P 1'
_space_group_IT_number 1
_space_group_name_Hall 'P 1'
loop_
_atom_site_label
_atom_site_type_symbol
_atom_site_fract_x
_atom_site_fract_y
_atom_site_fract_z
Li1 Li 0.135 0.365 0.000
Li2 Li 0.365 0.865 0.000
Li3 Li 0.635 0.135 0.000
Li4 Li 0.865 0.635 0.000
Te1 Te 0.000 0.000 0.500
Te2 Te 0.500 0.500 0.500
H1 H 0.000 0.500 0.500
H2 H 0.500 0.000 0.500


# ZrTeAs2 | Alexandria | PBE | relaxed
# * total moment: 0.0 μB/cell
# * formation energy (no corrections): 0.01 eV/atom
data_ZrTeAs2
_chemical_formula_sum 'Zr1 Te1 As2'
_cell_length_a 4.969
_cell_length_b 4.969
_cell_length_c 4.969
_cell_angle_alpha 60.00
_cell_angle_beta 60.00
_cell_angle_gamma 60.00
_space_group_name_H-M_alt 'P 1'
_space_group_IT_number 1
_space_group_name_Hall 'P 1'
loop_
_atom_site_label
_atom_site_type_symbol
_atom_site_fract_x
_atom_site_fract_y
_atom_site_fract_z
Zr1 Zr 0.000 0.000 0.000
Te1 Te 0.750 0.750 0.750
As1 As 0.250 0.250 0.250
As2 As 0.500 0.500 0.500


# GdMgScAu | Alexandria | PBE | relaxed
# * total moment: 7.2 μB/cell
# * ΔE_f: -146 kJ/mol of formula units
data_GdMgScAu
_chemical_formula_sum 'Gd1 Mg1 Sc1 Au1'
_cell_length_a 5.083
_cell_length_b 5.083
_cell_length_c 5.083
_cell_angle_alpha 60.00
_cell_angle_beta 60.00
_cell_angle_gamma 60.00
_space_group_name_H-M_alt 'P 1'
_space_group_IT_number 1
_space_group_name_Hall 'P 1'
loop_
_atom_site_label
_atom_site_type_symbol
_atom_site_fract_x
_atom_site_fract_y
_atom_site_fract_z
Gd1 Gd 0.000 0.000 0.000
Mg1 Mg 0.750 0.750 0.750
Sc1 Sc 0.500 0.500 0.500
Au1 Au 0.250 0.250 0.250


# Cr2CuSi | Alexandria | PBE | relaxed
# * total moment: 0.8 μB/cell
# * formation energy (no corrections): 0.02 eV/atom
data_Cr2CuSi
_chemical_formula_sum 'Cr2 Cu1 Si1'
_cell_length_a 2.992
_cell_length_b 2.992
_cell_length_c 5.391
_cell_angle_alpha 90.00
_cell_angle_beta 90.00
_cell_angle_gamma 90.00
_space_group_name_H-M_alt 'P 1'
_space_group_IT_number 1
_space_group_name_Hall 'P 1'
loop_
_atom_site_label
_atom_site_type_symbol
_atom_site_fract_x
_atom_site_fract_y
_atom_site_fract_z
Cr1 Cr 0.000 0.000 0.000
Cr2 Cr 0.500 0.500 0.215
Cu1 Cu 0.000 0.000 0.498
Si1 Si 0.500 0.500 0.731


# LiHo6Pt5 | Alexandria | PBE | relaxed
# * total moment: 0.0 μB/cell
# * ΔE_f: -1249 kJ/mol of formula units
data_LiHo6Pt5
_chemical_formula_sum 'Li1 Ho6 Pt5'
_cell_length_a 8.588
_cell_length_b 8.588
_cell_length_c 8.588
_cell_angle_alpha 146.91
_cell_angle_beta 131.80
_cell_angle_gamma 59.71
_space_group_name_H-M_alt 'P 1'
_space_group_IT_number 1
_space_group_name_Hall 'P 1'
loop_
_atom_site_label
_atom_site_type_symbol
_atom_site_fract_x
_atom_site_fract_y
_atom_site_fract_z
Li1 Li 0.000 0.000 0.000
Ho1 Ho 0.086 0.830 0.256
Ho2 Ho 0.261 0.500 0.761
Ho3 Ho 0.425 0.170 0.256
Ho4 Ho 0.575 0.830 0.744
Ho5 Ho 0.739 0.500 0.239
Ho6 Ho 0.914 0.170 0.744
Pt1 Pt 0.151 0.651 0.500
Pt2 Pt 0.325 0.325 0.000
Pt3 Pt 0.500 0.000 0.500
Pt4 Pt 0.675 0.675 0.000
Pt5 Pt 0.849 0.349 0.500


# TbY2Lu | Alexandria | PBE | relaxed
# * total moment: 0.0 μB/cell
# * ΔE_f: 11 kJ/mol of formula units
# * E above lowest polymorph: 0.0000 eV/atom
data_TbY2Lu
_chemical_formula_sum 'Tb1 Y2 Lu1'
_cell_length_a 3.540
_cell_length_b 3.540
_cell_length_c 10.036
_cell_angle_alpha 90.00
_cell_angle_beta 90.00
_cell_angle_gamma 90.00
_space_group_name_H-M_alt 'P 1'
_space_group_IT_number 1
_space_group_name_Hall 'P 1'
loop_
_atom_site_label
_atom_site_type_symbol
_atom_site_fract_x
_atom_site_fract_y
_atom_site_fract_z
Tb1 Tb 0.000 0.000 0.000
Y1 Y 0.500 0.500 0.253
Y2 Y 0.500 0.500 0.747
Lu1 Lu 0.000 0.000 0.500